# SrSmFe4O12 | Alexandria | GGA+U | relaxed
data_SrSmFe4O12
_chemical_formula_sum 'Sr1 Sm1 Fe4 O12'
_cell_length_a 5.400
_cell_length_b 5.400
_cell_length_c 7.651
_cell_angle_alpha 90.00
_cell_angle_beta 90.00
_cell_angle_gamma 90.00
_symmetry_space_group_name_H-M 'P 4/m m m'
_symmetry_Int_Tables_number 123
_symmetry_space_group_name_Hall '-P 4 2'
loop_
_atom_site_label
_atom_site_type_symbol
_atom_site_fract_x
_atom_site_fract_y
_atom_site_fract_z
Sr1 Sr 0.000 0.000 0.000
Sm1 Sm 0.500 0.500 0.500
Fe1 Fe 0.000 0.500 0.249
O1 O 0.000 0.500 0.000
O2 O 0.000 0.500 0.500
O3 O 0.257 0.257 0.261
# - raw total energy (eV/atom) = -6.240
# - magnetization (μB per cell) = 18.87